This record from Alexandria describes crystalline SmTh4Pt5 at its relaxed geometry. The functional is GGA-PBE.

```
10
Lattice="-2.1029 2.9729 10.4048 2.1029 -2.9729 10.4048 2.1029 2.9729 -10.4048" Properties=species:S:1:pos:R:3 pbc="T T T"
Sm 0.0000 0.0000 0.0000
Th 0.0000 0.0000 4.1415
Th 0.0000 0.0000 8.3382
Th 0.0000 0.0000 12.4715
Th 0.0000 0.0000 16.6682
Pt 2.1029 0.0000 2.1137
Pt 2.1029 0.0000 6.2484
Pt 0.0000 2.9729 0.0000
Pt 0.0000 2.9729 4.1565
Pt 0.0000 2.9729 8.2912
```

Output
Calculated total energy = -7.65 eV per atom
ΔH_f (0 K) = -11.88 eV per formula unit
Total magnetic moment = 0.00 μB/f.u.

This record from Alexandria describes crystalline SmThPt at its relaxed geometry. The functional is GGA-PBE.

```
3
Lattice="4.7843 0.0000 0.0000 -2.3921 4.1433 0.0000 0.0000 0.0000 4.0441" Properties=species:S:1:pos:R:3 pbc="T T T"
Sm 0.0000 0.0000 0.0000
Th 0.0000 2.7622 1.7811
Pt 2.3922 1.3811 2.8964
```

Output
Calculated total energy = -6.60 eV per atom
ΔH_f (0 K) = -1.61 eV per formula unit
Total magnetic moment = 0.00 μB/f.u.

This record from Alexandria describes crystalline Sm2ThPt9 at its relaxed geometry. The functional is GGA-PBE.

```
12
Lattice="2.7211 1.5710 8.9349 -2.7211 1.5710 8.9349 0.0000 -3.1421 8.9349" Properties=species:S:1:pos:R:3 pbc="T T T"
Sm 0.0000 0.0000 3.7466
Sm 0.0000 0.0000 23.0581
Th 0.0000 0.0000 0.0000
Pt -1.3752 -0.7940 11.2130
Pt 0.0000 0.0000 8.9299
Pt 0.0000 -1.5880 15.5916
Pt -1.3752 0.7940 15.5916
Pt 0.0000 0.0000 13.4023
Pt 1.3752 -0.7940 11.2131
Pt 0.0000 1.5880 11.2131
Pt 0.0000 0.0000 17.8747
Pt 1.3752 0.7940 15.5916
```

Output
Calculated total energy = -6.91 eV per atom
ΔH_f (0 K) = -11.67 eV per formula unit
Total magnetic moment = 0.00 μB/f.u.

This record from Alexandria describes crystalline Sm2ThPt at its relaxed geometry. The functional is GGA-PBE.

```
16
Lattice="7.0928 0.0000 0.0000 0.0000 10.0252 0.0000 0.0000 0.0000 6.6393" Properties=species:S:1:pos:R:3 pbc="T T T"
Sm 1.3241 0.6199 1.0988
Sm 1.3241 4.3927 1.0988
Sm 2.2223 5.6325 4.4185
Sm 2.2223 9.4053 4.4185
Sm 4.8705 0.6199 2.2208
Sm 4.8705 4.3927 2.2208
Sm 5.7687 5.6325 5.5405
Sm 5.7687 9.4053 5.5405
Th 0.2198 2.5063 4.3298
Th 3.3266 7.5189 1.0101
Th 3.7662 2.5063 5.6292
Th 6.8730 7.5189 2.3095
Pt 0.8504 7.5189 6.2439
Pt 2.6960 2.5063 2.9242
Pt 4.3968 7.5189 3.7151
Pt 6.2424 2.5063 0.3954
```

Output
Calculated total energy = -6.33 eV per atom
ΔH_f (0 K) = -2.43 eV per formula unit
Total magnetic moment = 0.00 μB/f.u.

This record from Alexandria describes crystalline SmThZnPt at its relaxed geometry. The functional is GGA-PBE.

```
4
Lattice="0.0000 3.6266 3.6266 3.6266 0.0000 3.6266 3.6266 3.6266 0.0000" Properties=species:S:1:pos:R:3 pbc="T T T"
Sm 0.0000 0.0000 0.0000
Th 3.6266 3.6266 3.6266
Zn 5.4399 5.4399 5.4399
Pt 1.8133 1.8133 1.8133
```

Output
Calculated total energy = -5.48 eV per atom
ΔH_f (0 K) = -2.48 eV per formula unit
Total magnetic moment = 0.00 μB/f.u.

This record from Alexandria describes crystalline SmTi2Pt2 at its relaxed geometry. The functional is GGA-PBE.

```
5
Lattice="-2.1921 2.1921 5.2883 2.1921 -2.1921 5.2883 2.1921 2.1921 -5.2883" Properties=species:S:1:pos:R:3 pbc="T T T"
Sm 0.0000 0.0000 0.0000
Ti 2.1921 0.0000 2.6442
Ti 0.0000 2.1921 2.6442
Pt 0.0000 0.0000 3.9598
Pt 0.0000 0.0000 6.6169
```

Output
Calculated total energy = -7.41 eV per atom
ΔH_f (0 K) = -4.44 eV per formula unit
Total magnetic moment = 0.00 μB/f.u.